# Li8Fe7SbP12O48, relaxed, DFT PBE with a Hubbard U
data_Li8Fe7SbP12O48
_cell_length_a 8.6686
_cell_length_b 8.7826
_cell_length_c 12.2476
_cell_angle_alpha 89.85
_cell_angle_beta 89.92
_cell_angle_gamma 89.92
_symmetry_space_group_name_H-M 'P 1'
_symmetry_Int_Tables_number 1
_symmetry_space_group_name_Hall 'P 1'
loop_
_atom_site_label
_atom_site_type_symbol
_atom_site_fract_x
_atom_site_fract_y
_atom_site_fract_z
_atom_site_occupancy
Li1 Li 0.0000 0.0000 0.0000 1
Li2 Li 0.0024 0.9330 0.3696 1
Li3 Li 0.4303 0.5015 0.0029 1
Li4 Li 0.4374 0.4451 0.3708 1
Li5 Li 0.4972 0.9467 0.5024 1
Li6 Li 0.5005 0.0020 0.8715 1
Li7 Li 0.9270 0.4471 0.5132 1
Li8 Li 0.9297 0.5030 0.8708 1
Fe1 Fe 0.4649 0.2640 0.5750 1
Fe2 Fe 0.4646 0.6851 0.7995 1
Fe3 Fe 0.4678 0.1854 0.0750 1
Fe4 Fe 0.4688 0.7628 0.2986 1
Fe5 Fe 0.9655 0.6875 0.0738 1
Fe6 Fe 0.9661 0.1856 0.7971 1
Fe7 Fe 0.9688 0.7628 0.5760 1
Sb1 Sb 0.9628 0.2606 0.2983 1
P1 P 0.1110 0.3308 0.0360 1
P2 P 0.1138 0.6151 0.3319 1
P3 P 0.1760 0.4745 0.6887 1
P4 P 0.2559 0.9741 0.6867 1
P5 P 0.3229 0.1201 0.3333 1
P6 P 0.3228 0.8308 0.0410 1
P7 P 0.6089 0.6191 0.5398 1
P8 P 0.6099 0.3305 0.8337 1
P9 P 0.6739 0.4771 0.1856 1
P10 P 0.7545 0.9745 0.1846 1
P11 P 0.8209 0.1161 0.5381 1
P12 P 0.8213 0.8320 0.8332 1
O1 O 0.0406 0.2098 0.9602 1
O2 O 0.0423 0.7279 0.4139 1
O3 O 0.0498 0.4908 0.0088 1
O4 O 0.0518 0.4490 0.3670 1
O5 O 0.0607 0.6515 0.2169 1
O6 O 0.0619 0.2838 0.1557 1
O7 O 0.0660 0.5585 0.6084 1
O8 O 0.0686 0.3889 0.7695 1
O9 O 0.1374 0.1199 0.3439 1
O10 O 0.1442 0.8306 0.0320 1
O11 O 0.1571 0.0823 0.7550 1
O12 O 0.1609 0.8637 0.6177 1
O13 O 0.2722 0.5852 0.7563 1
O14 O 0.2736 0.3658 0.6197 1
O15 O 0.2881 0.3294 0.0305 1
O16 O 0.2901 0.6109 0.3431 1
O17 O 0.3647 0.0601 0.6069 1
O18 O 0.3653 0.8904 0.7675 1
O19 O 0.3666 0.1631 0.2173 1
O20 O 0.3704 0.9567 0.3652 1
O21 O 0.3725 0.7839 0.1564 1
O22 O 0.3831 0.9912 0.0103 1
O23 O 0.3856 0.2386 0.4142 1
O24 O 0.3881 0.7111 0.9597 1
O25 O 0.5424 0.7385 0.4588 1
O26 O 0.5453 0.2106 0.9149 1
O27 O 0.5512 0.4911 0.8648 1
O28 O 0.5538 0.4569 0.5087 1
O29 O 0.5564 0.6625 0.6550 1
O30 O 0.5593 0.2852 0.7183 1
O31 O 0.5664 0.3906 0.1075 1
O32 O 0.5724 0.5605 0.2698 1
O33 O 0.6429 0.8288 0.8420 1
O34 O 0.6440 0.1175 0.5283 1
O35 O 0.6596 0.8691 0.2568 1
O36 O 0.6642 0.0921 0.1201 1
O37 O 0.7674 0.3594 0.2580 1
O38 O 0.7771 0.5817 0.1199 1
O39 O 0.7878 0.6211 0.5326 1
O40 O 0.7887 0.3302 0.8405 1
O41 O 0.8672 0.0582 0.2703 1
O42 O 0.8666 0.8906 0.1076 1
O43 O 0.8727 0.7897 0.7174 1
O44 O 0.8772 0.1709 0.6489 1
O45 O 0.8771 0.9940 0.8634 1
O46 O 0.8854 0.9591 0.5055 1
O47 O 0.8865 0.2421 0.4543 1
O48 O 0.8897 0.7133 0.9140 1
# Energy = -6.8076 eV per atom
# Size of the total moment = 37.32 μB per formula unit
# DOS(E_F) = 26.3 states/eV/f.u.